Below is crystalline YAlTc2Cl at its relaxed geometry, with properties calculated at the GGA-PBE level.

Its magnetization is 0.0 μB per cell. The formation energy from raw total energies comes out at 508 meV/atom. The value obtained for the volume is 19.19 A^3/atom.

It has space group P4/mmm (No. 123), with a = 4.447 Å, b = 4.447 Å, c = 4.852 Å, α = 90.00°, β = 90.00° and γ = 90.00°. The distinct sites, in fractional coordinates, are Y at (0.000, 0.000, 0.000), Al at (0.500, 0.500, 0.000), Tc at (0.000, 0.500, 0.500) and Cl at (0.000, 0.000, 0.500).